(1)
# RbAgSn2

A geometry-optimized RbAgSn2 structure (GGA-PBE, Alexandria via LeMat-Bulk).

```
8
Lattice="4.578 0.000 0.000 -2.289 7.019 0.000 0.000 0.000 8.065" Properties=species:S:1:pos:R:3 pbc="T T T"
Ag 0.000 3.191 2.016
Ag 2.289 3.828 6.049
Rb 0.000 0.628 6.049
Rb 2.289 6.392 2.016
Sn 2.289 2.353 3.565
Sn 0.000 4.667 4.500
Sn 2.289 2.353 0.468
Sn 0.000 4.667 7.598
```

The calculation puts the relative energy among the computed polymorphs at 0.0 meV per atom. For the total energy, the calculation gives -24.91 eV for the cell shown. For the spin magnetization, the calculation gives 0.0 μB per formula unit. The space group is Cmcm.

***

(2)
# Ti2IrRhAu

A geometry-optimized Ti2IrRhAu structure (GGA-PBE, Alexandria via LeMat-Bulk).

```
5
Lattice="4.502 0.000 0.000 0.000 4.910 0.000 0.000 0.000 4.502" Properties=species:S:1:pos:R:3 pbc="T T T"
Ir 2.251 2.455 2.251
Ti 2.251 0.000 0.000
Ti 0.000 0.000 2.251
Au 0.000 2.455 0.000
Rh 0.000 0.000 0.000
```

For the total energy, the calculation gives -31.65 eV for the cell shown. For the spin magnetization, the calculation gives 0.0 μB per formula unit. The space group is P4/mmm.

***

(3)
# TlCdAu

A geometry-optimized TlCdAu structure (GGA-PBE, Alexandria via LeMat-Bulk).

```
3
Lattice="6.417 -0.131 0.139 5.504 3.240 0.099 0.912 0.167 3.367" Properties=species:S:1:pos:R:3 pbc="T T T"
Cd 4.846 1.219 2.249
Au 11.770 3.069 0.280
Tl 8.137 2.098 1.313
```

For the total energy, the calculation gives -6.64 eV for the cell shown. For the spin magnetization, the calculation gives 0.0 μB per formula unit. The space group is Fmm2.

***

(4)
# Hf3CdSn

A geometry-optimized Hf3CdSn structure (GGA-PBE, Alexandria via LeMat-Bulk).

```
10
Lattice="-0.626 3.401 -4.208 -7.051 0.075 1.110 4.176 4.790 3.250" Properties=species:S:1:pos:R:3 pbc="T T T"
Hf -1.376 6.435 0.118
Hf 1.477 6.405 -0.331
Hf -0.213 4.467 -1.646
Hf -2.126 1.831 0.034
Hf -3.289 3.799 1.798
Hf -4.979 1.861 0.483
Cd 0.000 0.000 0.000
Cd -0.313 1.701 -2.104
Sn 0.275 4.068 1.484
Sn -3.776 4.199 -1.332
```

The calculation puts the relative energy among the computed polymorphs at 242.0 meV per atom. For the total energy, the calculation gives -65.41 eV for the cell shown. For the spin magnetization, the calculation gives 0.0 μB per formula unit. The space group is P6_3/mmc.

***

(5)
# Cd2Cu2Mo

A geometry-optimized Cd2Cu2Mo structure (GGA-PBE, Alexandria via LeMat-Bulk).

```
10
Lattice="-4.765 -5.985 0.502 0.551 -1.073 -7.571 2.153 -1.681 0.395" Properties=species:S:1:pos:R:3 pbc="T T T"
Cd -2.655 -6.093 -1.815
Cd 0.594 -2.646 -4.859
Cd -0.350 -2.950 -1.004
Cd -1.711 -5.789 -5.671
Mo -2.107 -3.529 -3.535
Mo 0.000 0.000 0.000
Cu -0.347 -1.111 -2.841
Cu -1.338 -3.239 -6.493
Cu -2.875 -3.819 -0.577
Cu -3.867 -5.947 -4.229
```

For the total energy, the calculation gives -37.67 eV for the cell shown. For the spin magnetization, the calculation gives 0.0 μB per formula unit. The space group is P4/mbm.

***

(6)
# Pr12Zn6Ir

A geometry-optimized Pr12Zn6Ir structure (GGA-PBE, Alexandria via LeMat-Bulk).

```
19
Lattice="-6.741 3.069 -3.832 1.962 -5.043 -6.346 -4.321 -5.885 4.032" Properties=species:S:1:pos:R:3 pbc="T T T"
Pr -7.734 0.613 -2.947
Pr -3.952 -6.006 -4.559
Pr -2.824 -4.777 -1.291
Pr -5.148 -1.853 -1.588
Pr -6.277 -3.081 -4.855
Pr -0.670 -4.387 -7.013
Pr -2.684 -2.572 -4.318
Pr -8.430 -3.472 0.867
Pr -4.977 -0.814 -7.644
Pr -1.366 -8.471 -3.200
Pr -6.416 -5.287 -1.829
Pr -4.123 -7.045 1.498
Ir 0.000 0.000 0.000
Zn -1.024 -5.292 -3.869
Zn -8.077 -2.566 -2.278
Zn -3.885 -3.822 -6.878
Zn -4.943 -0.327 -4.415
Zn -4.157 -7.531 -1.732
Zn -5.215 -4.036 0.731
```

For the total energy, the calculation gives -76.41 eV for the cell shown. For the spin magnetization, the calculation gives 0.0 μB per formula unit. The space group is R-3.

***

(7)
# La2Y3In4

A geometry-optimized La2Y3In4 structure (GGA-PBE, Alexandria via LeMat-Bulk).

```
18
Lattice="-5.627 -0.094 -4.429 -2.909 -7.766 3.862 -1.692 4.534 7.843" Properties=species:S:1:pos:R:3 pbc="T T T"
Y -4.097 -0.010 2.311
Y -3.317 -3.269 7.179
Y -6.130 -3.317 4.965
Y -4.268 -3.930 -0.283
Y 0.000 0.000 0.000
Y -6.911 -0.057 0.097
In -2.468 -1.632 0.276
In -5.787 2.488 1.510
In -4.946 -1.647 9.215
In -5.281 -1.680 -1.939
In -7.760 -1.694 7.000
In -6.032 -2.600 1.929
In -4.441 -5.815 5.766
In -4.196 -0.727 5.347
La -7.564 0.184 3.817
La -6.478 -6.229 2.574
La -2.664 -3.510 3.459
La -3.749 2.903 4.702
```

For the total energy, the calculation gives -86.74 eV for the cell shown. For the spin magnetization, the calculation gives 0.0 μB per formula unit. The space group is Cmce.

***

(8)
# Nb3Zn3N

A geometry-optimized Nb3Zn3N structure (GGA-PBE, Alexandria via LeMat-Bulk).

```
28
Lattice="8.298 0.000 0.000 4.149 7.186 0.000 4.149 2.395 6.775" Properties=species:S:1:pos:R:3 pbc="T T T"
Nb 2.648 1.529 2.919
Nb 10.946 3.262 5.550
Nb 5.649 6.320 1.225
Nb 8.298 7.849 5.550
Nb 5.650 1.529 2.919
Nb 5.649 3.262 0.469
Nb 4.149 0.663 0.469
Nb 4.149 4.128 2.919
Nb 2.648 3.262 0.469
Nb 5.649 3.262 5.550
Nb 8.298 1.733 1.225
Nb 10.946 6.320 1.225
Zn 6.223 5.988 4.234
Zn 11.083 7.974 5.638
Zn 9.662 4.003 2.831
Zn 10.372 5.988 4.234
Zn 8.298 4.791 0.847
Zn 8.298 6.366 2.831
Zn 12.447 7.186 3.411
Zn 12.447 5.611 5.638
Zn 8.298 4.791 5.058
Zn 6.934 4.003 2.831
Zn 8.298 2.395 4.234
Zn 13.811 7.974 5.638
N 2.074 1.198 0.847
N 4.149 2.395 4.234
N 6.223 1.198 0.847
N 4.149 4.791 0.847
```

For the total energy, the calculation gives -183.77 eV for the cell shown. The calculation puts the formation energy from raw total energies at -49 kJ per mole of atoms. For the spin magnetization, the calculation gives 0.0 μB per formula unit. The space group is Fd-3m.